Compound: Li2SmGe2
Source: Alexandria via LeMat-Bulk
Functional: PBE
Structure: optimized geometry

```
data_Li2SmGe2
_space_group_name_H-M_alt 'I 4/m m m'
_space_group_IT_number 139
_space_group_name_Hall '-I 4 2'
_cell_length_a 4.117
_cell_length_b 4.117
_cell_length_c 11.419
_cell_angle_alpha 90.00
_cell_angle_beta 90.00
_cell_angle_gamma 90.00
loop_
_atom_site_label
_atom_site_fract_x
_atom_site_fract_y
_atom_site_fract_z
Li1 0.000 0.500 0.250
Sm1 0.000 0.000 0.000
Ge1 0.000 0.000 0.392
```

## Properties
E_form   -0.585 eV/atom
Calculated density   5.31 g/cm³
N(E_F)   3.833 states/eV/cell